No. 1
Here is a relaxed InCuNi2 crystal from Alexandria via LeMat-Bulk. Energies are from PBE.

CIF file:
```
data_InCuNi2
_symmetry_space_group_name_H-M 'P 1'
_symmetry_Int_Tables_number 1
_symmetry_space_group_name_Hall 'P 1'
_cell_length_a 2.850
_cell_length_b 3.403
_cell_length_c 5.607
_cell_angle_alpha 90.00
_cell_angle_beta 90.00
_cell_angle_gamma 90.00
loop_
_atom_site_label
_atom_site_type_symbol
_atom_site_fract_x
_atom_site_fract_y
_atom_site_fract_z
Ni1 Ni 0.500 0.500 0.252
In1 In 0.500 0.500 0.759
Cu1 Cu 0.000 0.000 0.465
Ni2 Ni 0.000 0.000 0.025
```

Values from the calculation:
DOS(E_F) (states/eV per cell): 3.9
Space group: Pmm2
Crystal system: orthorhombic
Formation energy (eV per atom): 0.050

---

No. 2
Here is a relaxed In2CuNi crystal from Alexandria via LeMat-Bulk. Energies are from PBE.

CIF file:
```
data_In2CuNi
_symmetry_space_group_name_H-M 'P 1'
_symmetry_Int_Tables_number 1
_symmetry_space_group_name_Hall 'P 1'
_cell_length_a 4.583
_cell_length_b 4.583
_cell_length_c 4.583
_cell_angle_alpha 60.00
_cell_angle_beta 60.00
_cell_angle_gamma 60.00
loop_
_atom_site_label
_atom_site_type_symbol
_atom_site_fract_x
_atom_site_fract_y
_atom_site_fract_z
Ni1 Ni 0.750 0.750 0.750
In1 In 0.250 0.250 0.250
Cu1 Cu 0.500 0.500 0.500
In2 In 0.000 0.000 0.000
```

Values from the calculation:
DOS(E_F) (states/eV per cell): 2.4
Space group: F-43m
Crystal system: cubic
Formation energy (eV per atom): 0.245

---

No. 3
Here is a relaxed In2CuNi crystal from Alexandria via LeMat-Bulk. Energies are from PBE.

CIF file:
```
data_In2CuNi
_symmetry_space_group_name_H-M 'P 1'
_symmetry_Int_Tables_number 1
_symmetry_space_group_name_Hall 'P 1'
_cell_length_a 4.566
_cell_length_b 4.566
_cell_length_c 5.250
_cell_angle_alpha 77.92
_cell_angle_beta 77.92
_cell_angle_gamma 40.71
loop_
_atom_site_label
_atom_site_type_symbol
_atom_site_fract_x
_atom_site_fract_y
_atom_site_fract_z
In1 In 0.495 0.495 0.507
Ni1 Ni 0.750 0.750 0.750
In2 In 0.005 0.005 0.993
Cu1 Cu 0.250 0.250 0.250
```

Values from the calculation:
DOS(E_F) (states/eV per cell): 2.5
Space group: C2/m
Crystal system: monoclinic
Formation energy (eV per atom): 0.154

---

No. 4
Here is a relaxed InCuNi4 crystal from Alexandria via LeMat-Bulk. Energies are from PBE.

CIF file:
```
data_InCuNi4
_symmetry_space_group_name_H-M 'P 1'
_symmetry_Int_Tables_number 1
_symmetry_space_group_name_Hall 'P 1'
_cell_length_a 4.779
_cell_length_b 4.779
_cell_length_c 4.779
_cell_angle_alpha 60.00
_cell_angle_beta 60.00
_cell_angle_gamma 60.00
loop_
_atom_site_label
_atom_site_type_symbol
_atom_site_fract_x
_atom_site_fract_y
_atom_site_fract_z
Ni1 Ni 0.625 0.625 0.625
Ni2 Ni 0.126 0.625 0.625
In1 In 0.000 0.000 0.000
Ni3 Ni 0.625 0.625 0.126
Ni4 Ni 0.625 0.126 0.625
Cu1 Cu 0.250 0.250 0.250
```

Values from the calculation:
DOS(E_F) (states/eV per cell): 4.1
Space group: F-43m
Crystal system: cubic
Formation energy (eV per atom): 0.028

---

No. 5
Here is a relaxed InCuNi crystal from Alexandria via LeMat-Bulk. Energies are from PBE.

CIF file:
```
data_InCuNi
_symmetry_space_group_name_H-M 'P 1'
_symmetry_Int_Tables_number 1
_symmetry_space_group_name_Hall 'P 1'
_cell_length_a 4.934
_cell_length_b 4.934
_cell_length_c 3.151
_cell_angle_alpha 71.38
_cell_angle_beta 71.38
_cell_angle_gamma 37.24
loop_
_atom_site_label
_atom_site_type_symbol
_atom_site_fract_x
_atom_site_fract_y
_atom_site_fract_z
Ni1 Ni 0.655 0.655 0.345
Cu1 Cu 0.015 0.015 0.985
In1 In 0.330 0.330 0.670
```

Values from the calculation:
DOS(E_F) (states/eV per cell): 1.0
Space group: I4mm
Crystal system: tetragonal
Formation energy (eV per atom): 0.005

---

No. 6
Here is a relaxed In3CuNi crystal from Alexandria via LeMat-Bulk. Energies are from PBE.

CIF file:
```
data_In3CuNi
_symmetry_space_group_name_H-M 'P 1'
_symmetry_Int_Tables_number 1
_symmetry_space_group_name_Hall 'P 1'
_cell_length_a 4.417
_cell_length_b 9.579
_cell_length_c 9.579
_cell_angle_alpha 88.68
_cell_angle_beta 76.59
_cell_angle_gamma 76.59
loop_
_atom_site_label
_atom_site_type_symbol
_atom_site_fract_x
_atom_site_fract_y
_atom_site_fract_z
In1 In 0.137 0.702 0.529
Cu1 Cu 0.495 0.180 0.325
In2 In 0.379 0.126 0.615
In3 In 0.631 0.204 0.034
In4 In 0.369 0.796 0.966
In5 In 0.363 0.471 0.298
Ni1 Ni 0.750 0.249 0.751
Ni2 Ni 0.250 0.103 0.897
In6 In 0.121 0.385 0.874
Cu2 Cu 0.505 0.820 0.675
In7 In 0.879 0.615 0.126
Ni3 Ni 0.250 0.751 0.249
In8 In 0.869 0.966 0.796
Cu3 Cu 0.005 0.675 0.820
Cu4 Cu 0.995 0.325 0.180
In9 In 0.863 0.298 0.471
In10 In 0.621 0.874 0.385
Ni4 Ni 0.750 0.897 0.103
In11 In 0.637 0.529 0.702
In12 In 0.131 0.034 0.204
```

Values from the calculation:
DOS(E_F) (states/eV per cell): 8.4
Space group: C2/c
Crystal system: monoclinic
Formation energy (eV per atom): -0.028

---

No. 7
Here is a relaxed InCu2Ni crystal from Alexandria via LeMat-Bulk. Energies are from PBE.

CIF file:
```
data_InCu2Ni
_symmetry_space_group_name_H-M 'P 1'
_symmetry_Int_Tables_number 1
_symmetry_space_group_name_Hall 'P 1'
_cell_length_a 8.303
_cell_length_b 8.303
_cell_length_c 8.303
_cell_angle_alpha 19.99
_cell_angle_beta 19.99
_cell_angle_gamma 19.99
loop_
_atom_site_label
_atom_site_type_symbol
_atom_site_fract_x
_atom_site_fract_y
_atom_site_fract_z
Ni1 Ni 0.745 0.745 0.745
Cu1 Cu 0.002 0.002 0.002
Cu2 Cu 0.257 0.257 0.257
In1 In 0.497 0.497 0.497
```

Values from the calculation:
DOS(E_F) (states/eV per cell): 3.3
Space group: R3m
Crystal system: trigonal
Formation energy (eV per atom): 0.260

---

No. 8
Here is a relaxed InCu2Ni crystal from Alexandria via LeMat-Bulk. Energies are from PBE.

CIF file:
```
data_InCu2Ni
_symmetry_space_group_name_H-M 'P 1'
_symmetry_Int_Tables_number 1
_symmetry_space_group_name_Hall 'P 1'
_cell_length_a 3.138
_cell_length_b 3.138
_cell_length_c 5.676
_cell_angle_alpha 90.00
_cell_angle_beta 90.00
_cell_angle_gamma 90.00
loop_
_atom_site_label
_atom_site_type_symbol
_atom_site_fract_x
_atom_site_fract_y
_atom_site_fract_z
Ni1 Ni 0.500 0.500 0.772
In1 In 0.000 0.000 0.510
Cu1 Cu 0.500 0.500 0.217
Cu2 Cu 0.000 0.000 0.001
```

Values from the calculation:
DOS(E_F) (states/eV per cell): 1.4
Space group: P4mm
Crystal system: tetragonal
Formation energy (eV per atom): 0.025